# 1
{"formula": "LiCdSn2", "functional": "GGA-PBE", "state": "optimized geometry", "total_energy_ev_per_cell": -11.1, "sg": "No. 216", "lattice_angstrom": [[0.000, 3.634, 3.634], [3.634, 0.000, 3.634], [3.634, 3.634, 0.000]], "species": ["Li", "Cd", "Sn", "Sn"], "fractional_positions": [[0.000, 0.000, 0.000], [0.250, 0.250, 0.250], [0.500, 0.500, 0.500], [0.750, 0.750, 0.750]]}

***

# 2
{"formula": "YScAl2Cd2", "functional": "GGA-PBE", "state": "optimized geometry", "total_energy_ev_per_cell": -91.7, "sg": "No. 6", "lattice_angstrom": [[9.343, 0.000, 0.000], [0.000, 4.665, 0.000], [-4.648, 0.000, 13.206]], "species": ["Y", "Y", "Y", "Y", "Sc", "Sc", "Sc", "Sc", "Al", "Al", "Al", "Al", "Al", "Al", "Al", "Al", "Cd", "Cd", "Cd", "Cd", "Cd", "Cd", "Cd", "Cd"], "fractional_positions": [[0.000, 0.000, 0.000], [0.123, 0.500, 0.745], [0.249, 0.000, 0.496], [0.504, 0.000, 0.000], [0.377, 0.500, 0.250], [0.629, 0.500, 0.749], [0.751, 0.000, 0.498], [0.878, 0.500, 0.250], [0.128, 0.000, 0.251], [0.254, 0.500, 0.003], [0.380, 0.000, 0.748], [0.503, 0.500, 0.495], [0.628, 0.000, 0.251], [0.752, 0.500, 0.999], [0.870, 0.000, 0.744], [0.995, 0.500, 0.496], [0.068, 0.500, 0.132], [0.189, 0.000, 0.874], [0.325, 0.500, 0.626], [0.445, 0.000, 0.371], [0.569, 0.500, 0.132], [0.686, 0.000, 0.867], [0.804, 0.500, 0.618], [0.930, 0.000, 0.371]]}

***

# 3
{"formula": "HoTlPO", "functional": "GGA-PBE", "state": "optimized geometry", "e_above_lowest_polymorph_mev_per_atom": 185, "total_energy_ev_per_cell": -43.8, "sg": "No. 129", "lattice_angstrom": [[5.666, 0.000, 0.000], [0.000, 5.666, 0.000], [0.000, 0.000, 4.960]], "species": ["Ho", "Ho", "Tl", "Tl", "P", "P", "O", "O"], "fractional_positions": [[0.250, 0.750, 0.000], [0.750, 0.250, 0.000], [0.250, 0.250, 0.497], [0.750, 0.750, 0.503], [0.250, 0.250, 0.997], [0.750, 0.750, 0.003], [0.250, 0.750, 0.500], [0.750, 0.250, 0.500]]}

***

# 4
{"formula": "ScTaAlCo", "functional": "GGA-PBE", "state": "optimized geometry", "e_above_lowest_polymorph_mev_per_atom": 0, "total_energy_ev_per_cell": -28.8, "sg": "No. 216", "lattice_angstrom": [[0.000, 3.174, 3.174], [3.174, 0.000, 3.174], [3.174, 3.174, 0.000]], "species": ["Sc", "Ta", "Al", "Co"], "fractional_positions": [[0.000, 0.000, 0.000], [0.750, 0.750, 0.750], [0.250, 0.250, 0.250], [0.500, 0.500, 0.500]]}

***

# 5
{"formula": "Cu", "functional": "GGA-PBE", "state": "optimized geometry", "e_above_lowest_polymorph_mev_per_atom": 76, "total_energy_ev_per_cell": -58.3, "e_form_ev_per_atom": 0.08, "sg": "No. 129", "lattice_angstrom": [[2.521, 0.000, 0.000], [0.000, 2.521, 0.000], [0.000, 0.000, 41.631]], "species": ["Cu", "Cu", "Cu", "Cu", "Cu", "Cu", "Cu", "Cu", "Cu", "Cu", "Cu", "Cu", "Cu", "Cu", "Cu", "Cu"], "fractional_positions": [[0.250, 0.250, 0.022], [0.250, 0.250, 0.110], [0.250, 0.250, 0.197], [0.250, 0.250, 0.286], [0.250, 0.250, 0.671], [0.250, 0.250, 0.759], [0.250, 0.250, 0.847], [0.250, 0.250, 0.934], [0.750, 0.750, 0.066], [0.750, 0.750, 0.153], [0.750, 0.750, 0.241], [0.750, 0.750, 0.329], [0.750, 0.750, 0.714], [0.750, 0.750, 0.803], [0.750, 0.750, 0.890], [0.750, 0.750, 0.978]]}

***

# 6
{"formula": "LiZr", "functional": "GGA-PBE", "state": "optimized geometry", "e_above_lowest_polymorph_mev_per_atom": 98, "total_energy_ev_per_cell": -60.2, "sg": "No. 11", "lattice_angstrom": [[6.532, 0.000, 0.000], [0.000, 4.908, 0.000], [-1.588, 0.000, 7.501]], "species": ["Li", "Li", "Li", "Li", "Li", "Li", "Zr", "Zr", "Zr", "Zr", "Zr", "Zr"], "fractional_positions": [[0.045, 0.250, 0.196], [0.193, 0.250, 0.871], [0.260, 0.750, 0.118], [0.740, 0.250, 0.882], [0.807, 0.750, 0.129], [0.955, 0.750, 0.804], [0.129, 0.750, 0.462], [0.387, 0.250, 0.551], [0.460, 0.750, 0.809], [0.540, 0.250, 0.191], [0.613, 0.750, 0.449], [0.871, 0.250, 0.538]]}

***

# 7
{"formula": "KSrNd", "functional": "GGA-PBE", "state": "optimized geometry", "total_energy_ev_per_cell": -4.8, "sg": "No. 216", "lattice_angstrom": [[0.000, 4.377, 4.377], [4.377, 0.000, 4.377], [4.377, 4.377, 0.000]], "species": ["K", "Sr", "Nd"], "fractional_positions": [[0.000, 0.000, 0.000], [0.250, 0.250, 0.250], [0.750, 0.750, 0.750]]}

***

# 8
{"formula": "SiMoPt2", "functional": "GGA-PBE", "state": "optimized geometry", "total_energy_ev_per_cell": -29.0, "sg": "No. 216", "lattice_angstrom": [[0.000, 3.113, 3.113], [3.113, 0.000, 3.113], [3.113, 3.113, 0.000]], "species": ["Si", "Mo", "Pt", "Pt"], "fractional_positions": [[0.000, 0.000, 0.000], [0.250, 0.250, 0.250], [0.500, 0.500, 0.500], [0.750, 0.750, 0.750]]}

***

# 9
{"formula": "Er3Mg2TlCdGa2", "functional": "GGA-PBE", "state": "optimized geometry", "total_energy_ev_per_cell": -30.0, "sg": "No. 38", "lattice_angstrom": [[4.529, 0.000, 0.000], [0.000, 6.305, 3.627], [0.000, -6.305, 3.627]], "species": ["Er", "Er", "Er", "Mg", "Mg", "Tl", "Cd", "Ga", "Ga"], "fractional_positions": [[0.000, 0.000, 0.000], [0.000, 0.121, 0.558], [0.000, 0.558, 0.121], [0.500, 0.556, 0.807], [0.500, 0.807, 0.556], [0.000, 0.567, 0.567], [0.500, 0.301, 0.301], [0.500, 0.225, 0.887], [0.500, 0.887, 0.225]]}

***

# 10
{"formula": "HfTc", "functional": "GGA-PBE", "state": "optimized geometry", "total_energy_ev_per_cell": -16.9, "e_form_ev_per_atom": 1.73, "sg": "No. 216", "lattice_angstrom": [[0.000, 2.922, 2.922], [2.922, 0.000, 2.922], [2.922, 2.922, 0.000]], "species": ["Hf", "Tc"], "fractional_positions": [[0.000, 0.000, 0.000], [0.750, 0.750, 0.750]]}

***

# 11
{"formula": "Lu4TlSN2", "functional": "GGA-PBE", "state": "optimized geometry", "total_energy_ev_per_cell": -52.9, "sg": "No. 187", "lattice_angstrom": [[3.471, 0.000, 0.000], [-1.735, 3.006, 0.000], [0.000, 0.000, 13.761]], "species": ["Lu", "Lu", "Lu", "Lu", "Tl", "S", "N", "N"], "fractional_positions": [[0.000, 0.000, 0.133], [0.000, 0.000, 0.867], [0.333, 0.667, 0.318], [0.333, 0.667, 0.682], [0.000, 0.000, 0.500], [0.333, 0.667, 0.000], [0.667, 0.333, 0.225], [0.667, 0.333, 0.775]]}

***

# 12
{"formula": "Nd2DyIn3AgIr2", "functional": "GGA-PBE", "state": "optimized geometry", "total_energy_ev_per_cell": -48.1, "sg": "No. 38", "lattice_angstrom": [[4.032, 0.000, 0.000], [0.000, 6.629, 3.876], [0.000, -6.629, 3.876]], "species": ["Nd", "Nd", "Dy", "In", "In", "In", "Ag", "Ir", "Ir"], "fractional_positions": [[0.000, 0.207, 0.793], [0.000, 0.793, 0.207], [0.000, 0.379, 0.379], [0.500, 0.058, 0.058], [0.500, 0.530, 0.791], [0.500, 0.791, 0.530], [0.000, 0.790, 0.790], [0.500, 0.133, 0.459], [0.500, 0.459, 0.133]]}

***

# 13
{"formula": "MgScCuSe2S", "functional": "GGA-PBE", "state": "optimized geometry", "total_energy_ev_per_cell": -58.7, "sg": "No. 63", "lattice_angstrom": [[1.860, -6.244, 0.000], [1.860, 6.244, 0.000], [0.000, 0.000, 9.958]], "species": ["Mg", "Mg", "Sc", "Sc", "Cu", "Cu", "Se", "Se", "Se", "Se", "S", "S"], "fractional_positions": [[0.250, 0.750, 0.750], [0.750, 0.250, 0.250], [0.000, 0.000, 0.000], [0.000, 0.000, 0.500], [0.485, 0.515, 0.250], [0.515, 0.485, 0.750], [0.354, 0.646, 0.071], [0.354, 0.646, 0.429], [0.646, 0.354, 0.571], [0.646, 0.354, 0.929], [0.097, 0.903, 0.250], [0.903, 0.097, 0.750]]}

***

# 14
{"formula": "LiTmNb", "functional": "GGA-PBE", "state": "optimized geometry", "e_above_lowest_polymorph_mev_per_atom": 0, "total_energy_ev_per_cell": -12.7, "sg": "No. 216", "lattice_angstrom": [[0.000, 3.375, 3.375], [3.375, 0.000, 3.375], [3.375, 3.375, 0.000]], "species": ["Li", "Tm", "Nb"], "fractional_positions": [[0.000, 0.000, 0.000], [0.500, 0.500, 0.500], [0.250, 0.250, 0.250]]}